Record 1
DFT (PBEsol) results for a geometry-optimized KAlN3 structure.

a b c (Å): 4.8453 4.8453 4.8453
angles (deg): 90.00 90.00 90.00
Last column: nearest neighbours and their distance in Å.
Space group Pm-3m (No. 221)
Unique sites:
K 0.0000 0.0000 0.0000 x1  6 N 2.42
Al 0.5000 0.5000 0.5000 x1  12 N 3.43
N 0.0000 0.0000 0.5000 x3  2 K 2.42

Values from the calculation:
* uncorrected formation energy: 2897.8 meV/atom
* DOS(E_F): 0.501 states/eV per atom
* calculated volume: 22.75 A^3/atom
* theoretical density: 1.6 g/cm3
* size of the total moment: 7.000 μB/f.u.



Record 2
DFT (PBEsol) results for a geometry-optimized YMg2Cd structure.

a b c (Å): 7.1486 7.1486 7.1486
angles (deg): 90.00 90.00 90.00
Last column: nearest neighbours and their distance in Å.
Space group F-43m (No. 216)
Unique sites:
Y 0.0000 0.0000 0.0000 x4  4 Cd 3.10, 4 Mg 3.10
Mg 0.0000 0.0000 0.5000 x4  4 Mg 3.10, 4 Cd 3.10
Mg 0.2500 0.2500 0.7500 x4  4 Y 3.10, 4 Mg 3.10
Cd 0.2500 0.2500 0.2500 x4  4 Mg 3.10, 4 Y 3.10

Values from the calculation:
* DOS(E_F): 0.393 states/eV per atom
* total energy: -49.502 eV per cell
* calculated volume: 22.83 A^3/atom
* theoretical density: 4.5 g/cm3
* size of the total moment: 0.000 μB/f.u.



Record 3
DFT (PBEsol) results for a geometry-optimized Ca3InPt structure.

a b c (Å): 5.6463 5.6463 5.6463
angles (deg): 90.00 90.00 90.00
Last column: nearest neighbours and their distance in Å.
Space group Pm-3m (No. 221)
Unique sites:
Ca 0.0000 0.0000 0.5000 x3  2 In 2.82
In 0.0000 0.0000 0.0000 x1  6 Ca 2.82
Pt 0.5000 0.5000 0.5000 x1  12 Ca 3.99

Values from the calculation:
* DOS(E_F): 0.775 states/eV per atom
* total energy: -14.376 eV per cell
* calculated volume: 36.00 A^3/atom
* theoretical density: 4.0 g/cm3
* size of the total moment: 0.000 μB/f.u.



Record 4
DFT (PBEsol) results for a geometry-optimized CdAg2Hg structure.

a b c (Å): 4.1844 4.2378 8.2643
angles (deg): 90.00 90.00 90.00
Last column: nearest neighbours and their distance in Å.
Space group Cmmm (No. 65)
Unique sites:
Cd 0.0000 0.0000 0.0000 x2  8 Ag 2.91-2.93, 4 Cd 2.98
Ag 0.0000 0.5000 0.2450 x4  4 Cd 2.91-2.93, 4 Hg 2.97-2.99, 4 Ag 2.98
Hg 0.0000 0.0000 0.5000 x2  8 Ag 2.97-2.99, 4 Hg 2.98

Values from the calculation:
* distance to the lowest polymorph of the same formula: 15 meV/atom
* DOS(E_F): 0.284 states/eV per atom
* calculated volume: 18.32 A^3/atom
* theoretical density: 12.0 g/cm3
* size of the total moment: 0.000 μB/f.u.



Record 5
DFT (PBEsol) results for a geometry-optimized MgCd2In structure.

a b c (Å): 3.1691 3.1691 8.7145
angles (deg): 90.00 90.00 90.00
Last column: nearest neighbours and their distance in Å.
Space group P4mm (No. 99)
Unique sites:
Mg 0.0000 0.0000 0.0000 x1  4 Cd 3.03, 4 Mg 3.17, 4 In 3.18
Cd 0.0000 0.0000 0.4764 x1  8 Cd 3.07-3.17, 4 In 3.21
Cd 0.5000 0.5000 0.2348 x1  4 Mg 3.03, 8 Cd 3.07-3.17
In 0.5000 0.5000 0.7405 x1  4 In 3.17, 4 Mg 3.18, 4 Cd 3.21

Values from the calculation:
* DOS(E_F): 0.448 states/eV per atom
* total energy: -7.289 eV per cell
* calculated volume: 21.88 A^3/atom
* theoretical density: 6.9 g/cm3
* size of the total moment: 0.000 μB/f.u.



Record 6
DFT (PBEsol) results for a geometry-optimized IrOsBr2 structure.

a b c (Å): 12.2547 2.9552 4.6103
angles (deg): 90.00 97.09 90.00
Last column: nearest neighbours and their distance in Å.
Space group C2/m (No. 12)
Unique sites:
Ir 0.0000 0.0000 0.0000 x2  2 Br 2.43
Os 0.0000 0.5000 0.5000 x2  4 Br 2.54, 4 Ir 2.74
Br 0.1568 0.0000 0.7251 x4  1 Ir 2.43, 2 Os 2.54

Values from the calculation:
* uncorrected formation energy: 858.8 meV/atom
* distance to the lowest polymorph of the same formula: 233 meV/atom
* DOS(E_F): 1.291 states/eV per atom
* calculated volume: 20.71 A^3/atom
* theoretical density: 10.9 g/cm3
* size of the total moment: 0.001 μB/f.u.



Record 7
DFT (PBEsol) results for a geometry-optimized LiZrSiC2 structure.

a b c (Å): 3.7756 3.7756 4.8275
angles (deg): 90.00 90.00 90.00
Last column: nearest neighbours and their distance in Å.
Space group P4/mmm (No. 123)
Unique sites:
Li 0.0000 0.0000 0.0000 x1  4 Zr 2.67
Zr 0.5000 0.5000 0.0000 x1  2 Si 2.41, 4 Li 2.67
Si 0.5000 0.5000 0.5000 x1  4 C 1.89
C 0.0000 0.5000 0.5000 x2  2 Si 1.89

Values from the calculation:
* uncorrected formation energy: 1487.9 meV/atom
* DOS(E_F): 0.718 states/eV per atom
* calculated volume: 13.76 A^3/atom
* theoretical density: 3.6 g/cm3
* size of the total moment: 0.008 μB/f.u.



Record 8
DFT (PBEsol) results for a geometry-optimized ScSiAg3 structure.

a b c (Å): 4.9610 4.9610 4.9610
angles (deg): 90.00 90.00 90.00
Last column: nearest neighbours and their distance in Å.
Space group Pm-3m (No. 221)
Unique sites:
Sc 0.0000 0.0000 0.0000 x1  6 Ag 2.48
Si 0.5000 0.5000 0.5000 x1  12 Ag 3.51
Ag 0.0000 0.0000 0.5000 x3  2 Sc 2.48

Values from the calculation:
* uncorrected formation energy: 1289.8 meV/atom
* DOS(E_F): 0.745 states/eV per atom
* calculated volume: 24.42 A^3/atom
* theoretical density: 5.4 g/cm3
* size of the total moment: 0.001 μB/f.u.



Record 9
DFT (PBEsol) results for a geometry-optimized NiAg2Pt structure.

a b c (Å): 2.7954 4.6269 9.1579
angles (deg): 90.00 90.00 90.00
Last column: nearest neighbours and their distance in Å.
Space group Imm2 (No. 44)
Unique sites:
Ni 0.0000 0.0000 0.0000 x2  2 Pt 2.48, 6 Ag 2.61-2.70
Ag 0.0000 0.0000 0.4898 x2  4 Ni 2.70, 4 Ag 2.80-2.83, 2 Pt 2.81
Ag 0.0000 0.5000 0.2590 x2  2 Ni 2.61, 4 Pt 2.72, 4 Ag 2.80-2.83
Pt 0.0000 0.5000 0.7232 x2  2 Ni 2.48, 4 Ag 2.72

Values from the calculation:
* DOS(E_F): 1.119 states/eV per atom
* total energy: -38.253 eV per cell
* calculated volume: 14.81 A^3/atom
* theoretical density: 13.2 g/cm3
* size of the total moment: 0.473 μB/f.u.



Record 10
DFT (PBEsol) results for a geometry-optimized Mg2AuO structure.

a b c (Å): 6.0191 6.0191 7.1022
angles (deg): 90.00 90.00 90.00
Last column: nearest neighbours and their distance in Å.
Space group I-42d (No. 122)
Unique sites:
Mg 0.1488 0.2500 0.1250 x8  2 O 1.96
Au 0.0000 0.0000 0.5000 x4  4 Mg 2.74
O 0.0000 0.0000 0.0000 x4  4 Mg 1.96

Values from the calculation:
* uncorrected formation energy: -1321.4 meV/atom
* DOS(E_F): 0.291 states/eV per atom
* calculated volume: 16.08 A^3/atom
* theoretical density: 6.8 g/cm3
* size of the total moment: 0.000 μB/f.u.



Record 11
DFT (PBEsol) results for a geometry-optimized Ba3ReN3 structure.

a b c (Å): 8.1557 8.1557 5.6543
angles (deg): 90.00 90.00 120.00
Last column: nearest neighbours and their distance in Å.
Space group P6_3/m (No. 176)
Unique sites:
Ba 0.1006 0.3606 0.2500 x6  5 N 2.88-2.98
Re 0.3333 0.6667 0.7500 x2  3 N 1.83
N 0.1167 0.4354 0.7500 x6  1 Re 1.83

Values from the calculation:
* uncorrected formation energy: -713.2 meV/atom
* DOS(E_F): 0.577 states/eV per atom
* calculated volume: 23.26 A^3/atom
* theoretical density: 6.5 g/cm3
* size of the total moment: 0.000 μB/f.u.



Record 12
DFT (PBEsol) results for a geometry-optimized YSe structure.

a b c (Å): 3.9416 3.9416 12.8301
angles (deg): 90.00 90.00 90.00
Last column: nearest neighbours and their distance in Å.
Space group I4_1/amd (No. 141, origin choice 2)
Unique sites:
Y 0.0000 0.2500 0.3750 x4  4 Se 2.79
Se 0.0000 0.2500 0.8750 x4  4 Y 2.79

Values from the calculation:
* uncorrected formation energy: -1415.4 meV/atom
* DOS(E_F): 0.784 states/eV per atom
* calculated volume: 24.92 A^3/atom
* theoretical density: 5.6 g/cm3
* size of the total moment: 0.000 μB/f.u.



Record 13
DFT (PBEsol) results for a geometry-optimized TmSi2 structure.

a b c (Å): 4.0668 4.0668 3.7528
angles (deg): 90.00 90.00 120.00
Last column: nearest neighbours and their distance in Å.
Space group P6/mmm (No. 191)
Unique sites:
Tm 0.0000 0.0000 0.0000 x1  12 Si 3.01
Si 0.3333 0.6667 0.5000 x2  3 Si 2.35

Values from the calculation:
* uncorrected formation energy: -555.9 meV/atom
* DOS(E_F): 0.556 states/eV per atom
* calculated volume: 17.92 A^3/atom
* theoretical density: 7.0 g/cm3
* size of the total moment: 0.000 μB/f.u.



Record 14
DFT (PBEsol) results for a geometry-optimized CdHg2Os structure.

a b c (Å): 2.8946 4.2739 5.9153
angles (deg): 90.00 90.00 90.00
Last column: nearest neighbours and their distance in Å.
Space group Pmm2 (No. 25)
Unique sites:
Cd 0.0000 0.0000 0.0000 x1  5 Hg 2.76-3.01, 2 Cd 2.89, 4 Os 2.92
Hg 0.0000 0.0000 0.5339 x1  1 Cd 2.76, 6 Hg 2.89-3.04, 4 Os 2.94
Hg 0.5000 0.5000 0.2633 x1  6 Hg 2.89-3.04, 2 Os 2.91-3.00, 4 Cd 3.01
Os 0.5000 0.5000 0.7707 x1  2 Os 2.89, 6 Hg 2.91-3.00, 4 Cd 2.92

Values from the calculation:
* DOS(E_F): 0.690 states/eV per atom
* total energy: -12.120 eV per cell
* calculated volume: 18.29 A^3/atom
* theoretical density: 16.0 g/cm3
* size of the total moment: 0.002 μB/f.u.